Computed, not measured: a relaxed structure of ScAgH2 at the PBEsol level of DFT. Values from VASP.

Quantum ESPRESSO input file:
```
&SYSTEM
  ibrav = 0, nat = 4, ntyp = 3
/
ATOMIC_SPECIES
Sc 44.96 Sc.upf
Ag 107.87 Ag.upf
H 1.01 H.upf
CELL_PARAMETERS angstrom
0.0000 2.7744 2.7744
2.7744 0.0000 2.7744
2.7744 2.7744 0.0000
ATOMIC_POSITIONS crystal
Sc 0.0000 0.0000 0.0000
Ag 0.5000 0.5000 0.5000
H 0.2500 0.2500 0.2500
H 0.7500 0.7500 0.7500
```

Output
VASP energy = -16.79 eV per formula unit
Symmetry = Fm-3m